Entry 1:
MgCoCl2: optimized geometry, PBE-GGA.

POSCAR file:
```
MgCoCl2
1.0
3.211 0.000 0.000
0.000 3.929 0.000
0.000 0.000 5.878
Mg Co Cl
1 1 2
Direct
0.000 0.000 0.000
0.500 0.000 0.500
0.000 0.500 0.500
0.500 0.500 0.000
```

Values from the calculation:
Total moment   1.41 μB/cell
Relative energy among the computed polymorphs   407 meV/atom
Space-group type   No. 47

=====

Entry 2:
MgCoCl: optimized geometry, PBE-GGA.

POSCAR file:
```
MgCoCl
1.0
3.199 0.000 0.000
0.001 3.199 0.000
0.039 0.018 11.070
Mg Co Cl
2 2 2
Direct
0.000 0.000 0.000
0.494 0.497 0.414
0.500 0.499 0.179
0.999 0.999 0.236
0.504 0.503 0.876
0.994 0.000 0.539
```

Values from the calculation:
Total moment   3.25 μB/cell
Relative energy among the computed polymorphs   62 meV/atom
Space-group type   No. 1

=====

Entry 3:
Mg3CoCl8: optimized geometry, PBE-GGA.

POSCAR file:
```
Mg3CoCl8
1.0
6.309 -3.644 0.000
6.309 3.644 0.000
-4.277 0.000 6.539
Mg Co Cl
3 1 8
Direct
0.000 0.000 0.000
0.000 0.500 0.000
0.500 0.000 0.000
0.500 0.500 0.000
0.238 0.238 0.211
0.243 0.734 0.207
0.266 0.266 0.793
0.266 0.757 0.793
0.734 0.243 0.207
0.734 0.734 0.207
0.757 0.266 0.793
0.762 0.762 0.789
```

Values from the calculation:
Total moment   3.00 μB/cell
Space-group type   No. 12

=====

Entry 4:
MgCoCl2: optimized geometry, PBE-GGA.

POSCAR file:
```
MgCoCl2
1.0
3.399 0.000 0.000
0.000 3.399 0.000
0.000 0.000 6.749
Mg Co Cl
1 1 2
Direct
0.000 0.000 0.000
0.500 0.500 0.832
0.000 0.000 0.629
0.500 0.500 0.171
```

Values from the calculation:
Total moment   1.01 μB/cell
Relative energy among the computed polymorphs   244 meV/atom
Space-group type   No. 99

=====

Entry 5:
MgCoCl2: optimized geometry, PBE-GGA.

POSCAR file:
```
MgCoCl2
1.0
-1.605 3.508 3.834
1.605 -3.508 3.834
1.605 3.508 -3.834
Mg Co Cl
1 1 2
Direct
0.000 0.000 0.000
0.720 0.220 0.500
0.423 0.674 0.749
0.926 0.674 0.251
```

Values from the calculation:
Total moment   1.30 μB/cell
Relative energy among the computed polymorphs   170 meV/atom
Space-group type   No. 44

=====

Entry 6:
MgCoCl2: optimized geometry, PBE-GGA.

POSCAR file:
```
MgCoCl2
1.0
1.691 0.976 8.838
-1.691 0.976 8.838
0.000 -1.952 8.838
Mg Co Cl
1 1 2
Direct
0.000 0.000 0.000
0.748 0.748 0.748
0.277 0.277 0.277
0.461 0.461 0.461
```

Values from the calculation:
Total moment   1.60 μB/cell
Relative energy among the computed polymorphs   0 meV/atom
Space-group type   No. 160

=====

Entry 7:
MgCoCl: optimized geometry, PBE-GGA.

POSCAR file:
```
MgCoCl
1.0
3.813 0.000 0.000
0.000 8.683 1.938
0.000 -8.683 1.938
Mg Co Cl
2 2 2
Direct
0.250 0.074 0.926
0.750 0.926 0.074
0.250 0.470 0.537
0.750 0.537 0.470
0.250 0.620 0.936
0.750 0.936 0.620
```

Values from the calculation:
Total moment   2.86 μB/cell
Relative energy among the computed polymorphs   188 meV/atom
Space-group type   No. 40

=====

Entry 8:
MgCoCl2: optimized geometry, PBE-GGA.

POSCAR file:
```
MgCoCl2
1.0
3.841 0.000 0.000
0.000 3.327 0.000
-1.185 0.000 7.008
Mg Co Cl
1 1 2
Direct
0.000 0.000 0.000
0.543 0.500 0.115
0.311 0.500 0.805
0.674 0.000 0.329
```

Values from the calculation:
Total moment   1.00 μB/cell
Relative energy among the computed polymorphs   58 meV/atom
Space-group type   No. 6

=====

no.,uncorrected formation energy (eV/atom)
1,-0.214
2,-0.592
3,-1.522
4,-0.376
5,-0.451
6,-0.621
7,-0.466
8,-0.562